A plane-wave DFT calculation with SCAN was carried out for CuTeRh2 at its PBEsol-relaxed geometry.

Cell: 4.866 4.866 4.866 Å, 133.66 133.66 67.62°
Fractional positions:
Cu 0.000 0.000 0.000
Te 0.250 0.750 0.500
Rh 0.500 0.500 0.000
Rh 0.750 0.250 0.500

Properties
ΔE_f (raw) (eV/atom): 0.036
DFT total energy (eV per atom): -29.96